Computed, not measured: a relaxed structure of TbHo4Al2 at the PBE level of DFT.

a = 5.003 Å, b = 5.003 Å, c = 10.446 Å
α = 76.14°, β = 76.14°, γ = 60.00°
Positions (direct):
Tb: 0.500 0.500 0.500
Ho: 0.702 0.702 0.894
Ho: 0.898 0.898 0.306
Ho: 0.298 0.298 0.106
Ho: 0.102 0.102 0.694
Al: 0.600 0.600 0.200
Al: 0.400 0.400 0.800

crystal system = trigonal
relative energy among the computed polymorphs = 0.1322 eV/atom

Computed, not measured: a relaxed structure of Tb8HoAl6 at the PBE level of DFT.

a = 8.689 Å, b = 8.689 Å, c = 8.039 Å
α = 57.29°, β = 57.29°, γ = 60.00°
Positions (direct):
Tb: 0.551 0.217 0.348
Tb: 0.783 0.116 0.652
Tb: 0.116 0.449 0.652
Tb: 0.666 0.666 0.001
Tb: 0.334 0.334 0.999
Tb: 0.884 0.551 0.348
Tb: 0.217 0.884 0.348
Tb: 0.449 0.783 0.652
Ho: 0.000 0.000 0.000
Al: 0.385 0.052 0.843
Al: 0.948 0.280 0.157
Al: 0.280 0.615 0.157
Al: 0.720 0.385 0.843
Al: 0.052 0.720 0.843
Al: 0.615 0.948 0.157

crystal system = trigonal
raw total energy = -66.52 eV/cell

Computed, not measured: a relaxed structure of Tb8Ho2Al at the PBE level of DFT.

a = 5.483 Å, b = 6.446 Å, c = 9.938 Å
α = 93.29°, β = 106.01°, γ = 90.00°
Positions (direct):
Tb: 0.421 0.398 0.842
Tb: 0.658 0.120 0.316
Tb: 0.844 0.188 0.689
Tb: 0.958 0.748 0.916
Tb: 0.156 0.812 0.311
Tb: 0.342 0.880 0.684
Tb: 0.579 0.602 0.158
Tb: 0.042 0.252 0.084
Ho: 0.760 0.665 0.520
Ho: 0.240 0.335 0.480
Al: 0.500 0.000 0.000

crystal system = monoclinic
relative energy among the computed polymorphs = 0.0000 eV/atom

Computed, not measured: a relaxed structure of Tb6Ho8Al at the PBE level of DFT.

a = 6.171 Å, b = 9.358 Å, c = 9.358 Å
α = 120.00°, β = 90.00°, γ = 90.00°
Positions (direct):
Tb: 0.692 0.636 0.092
Tb: 0.692 0.908 0.544
Tb: 0.692 0.456 0.364
Tb: 0.308 0.364 0.908
Tb: 0.308 0.092 0.456
Tb: 0.308 0.544 0.636
Ho: 0.801 0.041 0.260
Ho: 0.801 0.740 0.780
Ho: 0.801 0.220 0.959
Ho: 0.199 0.959 0.740
Ho: 0.199 0.260 0.220
Ho: 0.199 0.780 0.041
Ho: 0.809 0.333 0.667
Ho: 0.191 0.667 0.333
Al: 0.500 0.000 0.000

crystal system = trigonal
raw total energy = -66.78 eV/cell

Computed, not measured: a relaxed structure of Tb4Ho3Al at the PBE level of DFT.

a = 3.503 Å, b = 5.312 Å, c = 12.836 Å
α = 90.00°, β = 90.00°, γ = 90.00°
Positions (direct):
Tb: 0.500 0.500 0.318
Tb: 0.000 0.500 0.841
Tb: 0.000 0.000 0.162
Tb: 0.500 0.000 0.677
Ho: 0.000 0.500 0.567
Ho: 0.000 0.000 0.431
Ho: 0.500 0.000 0.941
Al: 0.500 0.500 0.063

crystal system = orthorhombic
relative energy among the computed polymorphs = 0.0653 eV/atom

Computed, not measured: a relaxed structure of Tb4Ho5Al at the PBE level of DFT.

a = 5.649 Å, b = 7.971 Å, c = 7.971 Å
α = 82.79°, β = 69.25°, γ = 69.25°
Positions (direct):
Tb: 0.456 0.314 0.686
Tb: 0.770 0.686 0.686
Tb: 0.142 0.314 0.314
Tb: 0.456 0.686 0.314
Ho: 0.781 0.365 0.000
Ho: 0.146 0.000 0.635
Ho: 0.781 0.000 0.365
Ho: 0.146 0.635 0.000
Ho: 0.657 0.000 0.000
Al: 0.174 0.000 0.000

crystal system = tetragonal
relative energy among the computed polymorphs = 0.1719 eV/atom

Computed, not measured: a relaxed structure of Tb3HoAl8 at the PBE level of DFT.

a = 5.561 Å, b = 5.561 Å, c = 9.674 Å
α = 73.29°, β = 73.29°, γ = 60.00°
Positions (direct):
Tb: 0.375 0.375 0.874
Tb: 0.000 0.000 0.001
Tb: 0.500 0.500 0.500
Ho: 0.875 0.875 0.374
Al: 0.937 0.437 0.188
Al: 0.438 0.938 0.687
Al: 0.437 0.437 0.188
Al: 0.938 0.938 0.687
Al: 0.188 0.188 0.437
Al: 0.687 0.687 0.938
Al: 0.437 0.937 0.188
Al: 0.938 0.438 0.687

crystal system = trigonal
relative energy among the computed polymorphs = 0.0000 eV/atom

Computed, not measured: a relaxed structure of TbHo5Al6 at the PBE level of DFT.

a = 5.070 Å, b = 7.180 Å, c = 8.022 Å
α = 90.00°, β = 71.58°, γ = 90.00°
Positions (direct):
Tb: 0.000 0.000 0.000
Ho: 0.666 0.500 0.668
Ho: 0.333 0.000 0.334
Ho: 0.000 0.500 0.000
Ho: 0.667 0.000 0.666
Ho: 0.334 0.500 0.332
Al: 0.833 0.749 0.335
Al: 0.833 0.251 0.335
Al: 0.500 0.251 0.000
Al: 0.500 0.749 0.000
Al: 0.167 0.749 0.665
Al: 0.167 0.251 0.665

crystal system = orthorhombic
raw total energy = -54.74 eV/cell

Computed, not measured: a relaxed structure of Tb2HoAl6 at the PBE level of DFT.

a = 4.386 Å, b = 7.972 Å, c = 7.972 Å
α = 52.84°, β = 74.03°, γ = 74.03°
Positions (direct):
Tb: 0.376 0.124 0.124
Tb: 0.624 0.876 0.876
Ho: 0.500 0.500 0.500
Al: 0.185 0.508 0.122
Al: 0.815 0.492 0.878
Al: 0.815 0.878 0.492
Al: 0.000 0.190 0.810
Al: 0.000 0.810 0.190
Al: 0.185 0.122 0.508

crystal system = orthorhombic
relative energy among the computed polymorphs = 0.2692 eV/atom

Computed, not measured: a relaxed structure of Tb5Ho2Al4 at the PBE level of DFT.

a = 5.626 Å, b = 8.664 Å, c = 8.057 Å
α = 122.53°, β = 110.43°, γ = 90.00°
Positions (direct):
Tb: 0.751 0.077 0.502
Tb: 0.249 0.923 0.498
Tb: 0.751 0.426 0.502
Tb: 0.500 0.000 0.000
Tb: 0.249 0.574 0.498
Ho: 0.859 0.859 0.718
Ho: 0.141 0.141 0.282
Al: 0.614 0.614 0.227
Al: 0.000 0.330 0.000
Al: 0.386 0.386 0.773
Al: 0.000 0.670 0.000

crystal system = orthorhombic
raw total energy = -44.55 eV/cell